Below is crystalline LiPuCoO6 at its relaxed geometry, with properties calculated at the PBE with a Hubbard U level.

POSCAR file:
```
LiPuCoO6
1.0
-3.397 -2.608 -1.824
2.552 -0.638 -3.840
3.696 -7.392 3.684
O Co Li Pu
12 2 2 2
direct
0.684 0.684 0.326
0.195 0.805 0.513
0.305 0.305 0.013
0.294 0.294 0.661
0.206 0.794 0.161
0.794 0.206 0.161
0.316 0.316 0.326
0.805 0.195 0.513
0.816 0.184 0.826
0.695 0.695 0.013
0.706 0.706 0.661
0.184 0.816 0.826
0.000 0.000 0.664
0.500 0.500 0.164
0.000 0.000 0.335
0.500 0.500 0.835
0.000 0.000 0.001
0.500 0.500 0.501
```

Output
- raw total energy (eV per atom) = -7.2998